A geometry-optimized BaMg3Au3 structure. Source: Alexandria via LeMat-Bulk, functional PBE-GGA.

a = 7.419 Å, b = 7.419 Å, c = 7.419 Å
α = 90.00°, β = 90.00°, γ = 90.00°
Positions (direct):
Mg: 0.000 0.250 0.500
Mg: 0.000 0.750 0.500
Mg: 0.500 0.000 0.750
Mg: 0.750 0.500 0.000
Mg: 0.500 0.000 0.250
Mg: 0.250 0.500 0.000
Au: 0.250 0.000 0.500
Au: 0.000 0.500 0.250
Au: 0.500 0.750 0.000
Au: 0.750 0.000 0.500
Au: 0.000 0.500 0.750
Au: 0.500 0.250 0.000
Ba: 0.500 0.500 0.500
Ba: 0.000 0.000 0.000

Properties
Formation energy from the elements in eV per atom: -0.374
Crystal system: cubic